1.
Computed, not measured: a relaxed PmHoTlSi crystal at the PBE level of DFT.

Summary:
Calculated total energy   -4.61 eV/atom
Symmetry   No. 216

```
PmHoTlSi
1.0
0.0000 3.7000 3.7000
3.7000 0.0000 3.7000
3.7000 3.7000 0.0000
Pm Ho Tl Si
1 1 1 1
Direct
0.0000 0.0000 0.0000
0.5000 0.5000 0.5000
0.2500 0.2500 0.2500
0.7500 0.7500 0.7500
```

***

2.
Computed, not measured: a relaxed PmHoZnSi crystal at the PBE level of DFT.

Summary:
Calculated total energy   -4.45 eV/atom
Symmetry   No. 216

```
PmHoZnSi
1.0
0.0000 3.5588 3.5588
3.5588 0.0000 3.5588
3.5588 3.5588 0.0000
Pm Ho Zn Si
1 1 1 1
Direct
0.0000 0.0000 0.0000
0.5000 0.5000 0.5000
0.2500 0.2500 0.2500
0.7500 0.7500 0.7500
```

***

3.
Computed, not measured: a relaxed PmHo2Zn2Si2 crystal at the PBE level of DFT.

Summary:
Calculated total energy   -4.35 eV/atom
Symmetry   No. 166

```
PmHo2Zn2Si2
1.0
2.0400 1.1778 11.1604
-2.0400 1.1778 11.1604
0.0000 -2.3556 11.1604
Pm Ho Zn Si
1 2 2 2
Direct
0.0000 0.0000 0.0000
0.1229 0.1229 0.1229
0.8771 0.8771 0.8771
0.3960 0.3960 0.3960
0.6040 0.6040 0.6040
0.2684 0.2684 0.2684
0.7316 0.7316 0.7316
```

***

4.
Computed, not measured: a relaxed PmHoZnSi crystal at the PBE level of DFT.

Summary:
Calculated total energy   -4.55 eV/atom
Symmetry   No. 38

```
PmHoZnSi
1.0
4.0736 0.0000 0.0000
0.0000 2.1062 5.5145
0.0000 -2.1062 5.5145
Pm Ho Zn Si
1 1 1 1
Direct
0.0000 0.0000 0.0000
0.5000 0.2847 0.2847
0.5000 0.5789 0.5789
0.0000 0.7191 0.7191
```